No. 1
A relaxed structure of Pr3RuBr3, computed with GGA-PBE.

The structure in POSCAR format:
```
Pr3RuBr3
1.0
4.255 0.000 0.000
0.000 9.082 -0.019
0.000 0.594 12.253
Pr Ru Br
6 2 6
direct
0.250 0.320 0.380
0.750 0.680 0.620
0.250 0.896 0.386
0.750 0.104 0.614
0.250 0.880 0.839
0.750 0.120 0.161
0.250 0.889 0.621
0.750 0.111 0.379
0.250 0.398 0.628
0.750 0.602 0.372
0.250 0.884 0.115
0.750 0.116 0.885
0.250 0.355 0.128
0.750 0.645 0.872
```

Formation energy from raw total energies (eV/atom): -1.2378
Theoretical density (g/cm³): 5.36
Space-group type: P2_1/m, No. 11
Volume (Å³/cell): 473.5

=====

No. 2
A relaxed structure of Er4Ge6O19, computed with GGA-PBE.

The structure in POSCAR format:
```
Er4Ge6O19
1.0
-6.892 -3.224 -0.402
2.978 0.508 -6.995
4.544 -4.258 4.391
Er Ge O
4 6 19
direct
0.000 0.000 0.701
0.000 0.701 0.000
0.299 0.299 0.299
0.701 0.000 0.000
0.340 0.500 0.840
0.660 0.500 0.160
0.160 0.660 0.500
0.840 0.340 0.500
0.500 0.840 0.340
0.500 0.160 0.660
0.651 0.000 0.651
0.349 0.000 0.349
0.349 0.349 0.000
0.651 0.651 0.000
0.000 0.651 0.651
0.000 0.349 0.349
0.000 0.000 0.000
0.351 0.310 0.614
0.649 0.263 0.958
0.695 0.737 0.386
0.958 0.649 0.263
0.305 0.690 0.042
0.614 0.351 0.310
0.042 0.305 0.690
0.386 0.695 0.737
0.690 0.042 0.305
0.263 0.958 0.649
0.310 0.614 0.351
0.737 0.386 0.695
```

Formation energy from raw total energies (eV/atom): -2.1641
Theoretical density (g/cm³): 6.87
Space-group type: I23, No. 197
Volume (Å³/cell): 340.5